# 1
GGA-PBE Fe4H4Rh, optimized geometry; Fermi-level density of states = 0.60 states/eV/atom; calculated total energy = -6.054 eV/atom; calculated volume = 7.707 Å³ per atom
1.0
-0.841 1.023 -2.352
-1.360 -3.610 -2.632
-5.997 -0.120 0.544
H Fe Rh
4 4 1
Direct
0.708 0.893 0.691
0.106 0.678 0.111
0.292 0.107 0.309
0.894 0.322 0.889
0.100 0.209 0.592
0.900 0.791 0.408
0.694 0.402 0.210
0.306 0.598 0.790
0.500 0.000 0.000


# 2
GGA-PBE Mg2CoCuN, optimized geometry; energy above the lowest structure with this stoichiometry = 0 meV/atom; Fermi-level density of states = 0.39 states/eV/atom; ΔE_f (raw) = -202 meV/atom; calculated total energy = -4.745 eV/atom; calculated volume = 13.381 Å³ per atom
1.0
4.355 0.000 0.000
0.000 4.355 0.000
0.000 0.000 3.528
Mg Co Cu N
2 1 1 1
Direct
0.500 0.000 0.000
0.000 0.500 0.000
0.000 0.000 0.500
0.500 0.500 0.500
0.000 0.000 0.000


# 3
GGA-PBE PrNd5Ga4, optimized geometry; energy above the lowest structure with this stoichiometry = 157 meV/atom; Fermi-level density of states = 0.81 states/eV/atom; ΔH_f (0 K) = -0.27 eV per atom; calculated total energy = -4.343 eV/atom; calculated volume = 29.664 Å³ per atom
1.0
-1.923 -0.335 8.183
4.298 -6.644 0.738
7.184 4.857 1.888
Nd Pr Ga
10 2 8
Direct
0.269 0.246 0.802
0.731 0.746 0.302
0.269 0.754 0.198
0.269 0.754 0.802
0.731 0.254 0.302
0.731 0.746 0.698
0.731 0.254 0.698
0.269 0.246 0.198
0.922 0.500 0.000
0.078 0.000 0.500
0.354 0.500 0.500
0.646 0.000 0.000
0.014 0.500 0.650
0.986 0.000 0.150
0.014 0.500 0.350
0.440 0.153 0.500
0.560 0.347 0.000
0.560 0.653 0.000
0.986 0.000 0.850
0.440 0.847 0.500


# 4
GGA-PBE K2MgZn2Se4, optimized geometry; Fermi-level density of states = 0.00 states/eV/atom; ΔE_f (raw) = -1018 meV/atom; calculated total energy = -3.271 eV/atom; calculated volume = 25.949 Å³ per atom
1.0
4.026 0.000 0.000
0.000 7.761 0.303
-2.013 -2.781 7.366
K Zn Se Mg
2 2 4 1
Direct
0.124 0.544 0.247
0.876 0.456 0.753
0.329 0.019 0.657
0.671 0.981 0.343
0.481 0.224 0.962
0.519 0.776 0.038
0.791 0.815 0.583
0.209 0.185 0.417
0.000 0.000 0.000